Entry from Alexandria via LeMat-Bulk: an optimized crystal structure of Ta2VGa2Co5 (PBE).

Lattice parameters (Å, degrees): 9.0366 9.0366 3.2307 90.00 90.00 90.00
Fractional positions:
Ta: 0.1719 0.3281 0.0000
Ta: 0.3281 0.8281 0.0000
Ta: 0.6719 0.1719 0.0000
Ta: 0.8281 0.6719 0.0000
V: 0.0000 0.0000 0.0000
V: 0.5000 0.5000 0.0000
Ga: 0.1301 0.6301 0.0000
Ga: 0.3699 0.1301 0.0000
Ga: 0.6301 0.8699 0.0000
Ga: 0.8699 0.3699 0.0000
Co: 0.0000 0.5000 0.5000
Co: 0.0345 0.8014 0.5000
Co: 0.1986 0.0345 0.5000
Co: 0.3014 0.5345 0.5000
Co: 0.4655 0.3014 0.5000
Co: 0.5000 0.0000 0.5000
Co: 0.5345 0.6986 0.5000
Co: 0.6986 0.4655 0.5000
Co: 0.8014 0.9655 0.5000
Co: 0.9655 0.1986 0.5000

Results
ΔE_f, eV/f.u.: -0.8
V, Å³/atom: 13.2
Total magnetic moment, μB/f.u.: 0.0
SG: No. 127

Entry from Alexandria via LeMat-Bulk: an optimized crystal structure of Na2YSbS (PBE).

Lattice parameters (Å, degrees): 6.4706 6.4706 4.8933 90.00 90.00 90.00
Fractional positions:
Na: 0.0000 0.5000 0.0000
Na: 0.5000 0.0000 0.0000
Y: 0.0000 0.0000 0.0000
Sb: 0.5000 0.5000 0.5000
S: 0.0000 0.0000 0.5000

Results
V, Å³/atom: 41.0
Total magnetic moment, μB/f.u.: 0.0
SG: No. 123
Formation energy (no corrections), eV/atom: 0.16

Entry from Alexandria via LeMat-Bulk: an optimized crystal structure of Te2Ir2S (PBE).

Lattice parameters (Å, degrees): 8.0244 8.0244 3.0860 90.00 90.00 90.00
Fractional positions:
Te: 0.1687 0.3313 0.0000
Te: 0.3313 0.8313 0.0000
Te: 0.6687 0.1687 0.0000
Te: 0.8313 0.6687 0.0000
Ir: 0.1210 0.6210 0.5000
Ir: 0.3790 0.1210 0.5000
Ir: 0.6210 0.8790 0.5000
Ir: 0.8790 0.3790 0.5000
S: 0.0000 0.0000 0.0000
S: 0.5000 0.5000 0.0000

Results
Offset from the most stable computed form, meV per atom: 433
V, Å³/atom: 19.9
Total magnetic moment, μB/f.u.: 0.0
SG: No. 127
Formation energy (no corrections), eV/atom: 0.62

Entry from Alexandria via LeMat-Bulk: an optimized crystal structure of Tm8InSn5 (PBE).

Lattice parameters (Å, degrees): 7.9460 7.9460 7.9460 109.47 109.47 109.47
Fractional positions:
Tm: 0.1252 0.2306 0.7521
Tm: 0.1271 0.7332 0.7519
Tm: 0.2668 0.0187 0.3939
Tm: 0.4784 0.3731 0.2479
Tm: 0.6247 0.8729 0.6061
Tm: 0.6269 0.8748 0.1054
Tm: 0.7694 0.5216 0.8946
Tm: 0.9813 0.3753 0.2481
In: 0.7500 0.2500 0.5000
Sn: 0.0000 0.0000 0.0000
Sn: 0.2506 0.6264 0.1247
Sn: 0.3736 0.4983 0.6242
Sn: 0.5017 0.1259 0.8753
Sn: 0.8741 0.7494 0.3758

Results
ΔE_f, eV/f.u.: -8.6
V, Å³/atom: 27.6
Total magnetic moment, μB/f.u.: 0.0
SG: No. 82

Entry from Alexandria via LeMat-Bulk: an optimized crystal structure of ZnTc2Te (PBE).

Lattice parameters (Å, degrees): 3.7972 4.4598 4.7242 90.00 97.38 90.00
Fractional positions:
Zn: 0.0000 0.0000 0.0000
Tc: 0.3277 0.5000 0.1725
Tc: 0.6723 0.5000 0.8275
Te: 0.5000 0.0000 0.5000

Results
Offset from the most stable computed form, meV per atom: 211
V, Å³/atom: 19.8
Total magnetic moment, μB/f.u.: 0.0
SG: No. 10
Formation energy (no corrections), eV/atom: 0.39

Entry from Alexandria via LeMat-Bulk: an optimized crystal structure of SrTa2Pb (PBE).

Lattice parameters (Å, degrees): 3.7799 5.1788 10.0102 90.00 90.00 90.00
Fractional positions:
Sr: 0.0000 0.0000 0.0000
Sr: 0.5000 0.5000 0.0000
Ta: 0.0000 0.0000 0.4721
Ta: 0.0000 0.5000 0.2771
Ta: 0.5000 0.0000 0.2771
Ta: 0.5000 0.5000 0.4721
Pb: 0.0000 0.5000 0.7071
Pb: 0.5000 0.0000 0.7071

Results
ΔE_f, eV/f.u.: 1.8
V, Å³/atom: 24.5
Total magnetic moment, μB/f.u.: 0.0
SG: No. 35

Entry from Alexandria via LeMat-Bulk: an optimized crystal structure of Te4O9 (PBE).

Lattice parameters (Å, degrees): 7.5013 7.5013 7.5013 78.42 78.42 78.42
Fractional positions:
Te: 0.1598 0.4039 0.7110
Te: 0.1839 0.1839 0.1839
Te: 0.2890 0.8402 0.5961
Te: 0.4039 0.7110 0.1598
Te: 0.5961 0.2891 0.8402
Te: 0.7110 0.1598 0.4039
Te: 0.8161 0.8161 0.8161
Te: 0.8402 0.5961 0.2890
O: 0.0417 0.9287 0.7164
O: 0.0713 0.2836 0.9583
O: 0.0826 0.4121 0.2784
O: 0.2289 0.7124 0.4234
O: 0.2784 0.0826 0.4121
O: 0.2836 0.9583 0.0713
O: 0.2876 0.5766 0.7712
O: 0.4121 0.2784 0.0826
O: 0.4234 0.2289 0.7124
O: 0.5766 0.7711 0.2876
O: 0.5879 0.7216 0.9174
O: 0.7124 0.4234 0.2289
O: 0.7164 0.0417 0.9287
O: 0.7216 0.9174 0.5879
O: 0.7711 0.2876 0.5766
O: 0.9174 0.5879 0.7216
O: 0.9287 0.7164 0.0417
O: 0.9583 0.0713 0.2836

Results
V, Å³/atom: 15.4
Total magnetic moment, μB/f.u.: 0.0
SG: No. 148
Formation energy (no corrections), eV/atom: -0.97

Entry from Alexandria via LeMat-Bulk: an optimized crystal structure of AcTb12Y2 (PBE).

Lattice parameters (Å, degrees): 3.6121 5.6324 24.5655 90.00 94.14 90.00
Fractional positions:
Ac: 0.0000 0.0000 0.0000
Tb: 0.0737 0.0000 0.1429
Tb: 0.1040 0.5000 0.2045
Tb: 0.1688 0.5000 0.3317
Tb: 0.2161 0.0000 0.4266
Tb: 0.2747 0.5000 0.5549
Tb: 0.4598 0.5000 0.9218
Tb: 0.5402 0.5000 0.0782
Tb: 0.7253 0.5000 0.4451
Tb: 0.7839 0.0000 0.5734
Tb: 0.8312 0.5000 0.6683
Tb: 0.8960 0.5000 0.7955
Tb: 0.9263 0.0000 0.8571
Y: 0.3597 0.0000 0.7248
Y: 0.6403 0.0000 0.2752

Results
ΔE_f, eV/f.u.: 1.6
V, Å³/atom: 33.2
Total magnetic moment, μB/f.u.: 0.0
SG: No. 10